# 1
Compound: YAg6
Source: Alexandria via LeMat-Bulk
Functional: PBE-GGA
Structure: relaxed

CIF file:
```
data_YAg6
_symmetry_space_group_name_H-M 'P 1'
_symmetry_Int_Tables_number 1
_cell_length_a 6.3496
_cell_length_b 6.3496
_cell_length_c 6.3496
_cell_angle_alpha 109.47
_cell_angle_beta 109.47
_cell_angle_gamma 109.47
loop_
_symmetry_equiv_pos_as_xyz
'x,y,z'
loop_
_atom_site_label
_atom_site_fract_x
_atom_site_fract_y
_atom_site_fract_z
Ag1 0.5000 0.7500 0.2500
Ag2 0.2500 0.5000 0.7500
Ag3 0.7500 0.5000 0.2500
Ag4 0.5000 0.2500 0.7500
Ag5 0.2500 0.7500 0.5000
Ag6 0.7500 0.2500 0.5000
Y1 0.0000 0.0000 0.0000
```

Energy of formation (eV per atom): 0.6279
E_tot (eV/atom): -2.7394
Total magnetic moment (μB/f.u.): 0.000
Excess energy over the best structure of this formula in the dataset (eV/atom): 0.718

# 2
Compound: CdTc2W
Source: Alexandria via LeMat-Bulk
Functional: PBE-GGA
Structure: relaxed

CIF file:
```
data_CdTc2W
_symmetry_space_group_name_H-M 'P 1'
_symmetry_Int_Tables_number 1
_cell_length_a 5.0240
_cell_length_b 5.0240
_cell_length_c 5.0240
_cell_angle_alpha 134.23
_cell_angle_beta 134.23
_cell_angle_gamma 66.72
loop_
_symmetry_equiv_pos_as_xyz
'x,y,z'
loop_
_atom_site_label
_atom_site_fract_x
_atom_site_fract_y
_atom_site_fract_z
Cd1 0.7500 0.2500 0.5000
Tc1 0.2500 0.7500 0.5000
Tc2 0.0000 0.0000 0.0000
W1 0.5000 0.5000 0.0000
```

Energy of formation (eV per atom): 0.5030
E_tot (eV/atom): -8.1470
Total magnetic moment (μB/f.u.): 0.006

# 3
Compound: Sm3ErTl4Te8
Source: Alexandria via LeMat-Bulk
Functional: PBE-GGA
Structure: relaxed

CIF file:
```
data_Sm3ErTl4Te8
_symmetry_space_group_name_H-M 'P 1'
_symmetry_Int_Tables_number 1
_cell_length_a 9.0015
_cell_length_b 9.6945
_cell_length_c 9.0012
_cell_angle_alpha 117.67
_cell_angle_beta 120.00
_cell_angle_gamma 90.00
loop_
_symmetry_equiv_pos_as_xyz
'x,y,z'
loop_
_atom_site_label
_atom_site_fract_x
_atom_site_fract_y
_atom_site_fract_z
Te1 0.7396 0.7188 0.4792
Te2 0.2604 0.2812 0.5208
Te3 0.2354 0.7153 0.9800
Te4 0.7646 0.2847 0.5292
Te5 0.2554 0.2847 0.0200
Te6 0.7446 0.7153 0.9800
Te7 0.7646 0.2847 0.0200
Te8 0.2354 0.7153 0.4708
Tl1 0.5000 0.0000 0.5000
Tl2 0.0000 0.0000 0.5000
Tl3 0.0000 0.0000 0.0000
Tl4 0.5000 0.0000 0.0000
Sm1 0.5000 0.5000 0.0000
Sm2 0.5000 0.5000 0.5000
Sm3 0.0000 0.5000 0.5000
Er1 0.0000 0.5000 0.0000
```

E_tot (eV/atom): -4.3935
Total magnetic moment (μB/f.u.): 0.000

# 4
Compound: K6Rb8S
Source: Alexandria via LeMat-Bulk
Functional: PBE-GGA
Structure: relaxed

CIF file:
```
data_K6Rb8S
_symmetry_space_group_name_H-M 'P 1'
_symmetry_Int_Tables_number 1
_cell_length_a 10.8925
_cell_length_b 10.8925
_cell_length_c 10.8925
_cell_angle_alpha 72.82
_cell_angle_beta 72.82
_cell_angle_gamma 72.82
loop_
_symmetry_equiv_pos_as_xyz
'x,y,z'
loop_
_atom_site_label
_atom_site_fract_x
_atom_site_fract_y
_atom_site_fract_z
Rb1 0.0334 0.8973 0.3007
Rb2 0.6993 0.9666 0.1027
Rb3 0.7402 0.7402 0.7402
Rb4 0.9666 0.1027 0.6993
Rb5 0.2598 0.2598 0.2598
Rb6 0.1027 0.6993 0.9666
Rb7 0.3007 0.0334 0.8973
Rb8 0.8973 0.3007 0.0334
K1 0.5132 0.4047 0.8172
K2 0.4047 0.8172 0.5132
K3 0.5953 0.1828 0.4868
K4 0.1828 0.4868 0.5953
K5 0.8172 0.5132 0.4047
K6 0.4868 0.5953 0.1828
S1 0.0000 0.0000 0.0000
```

E_tot (eV/atom): -1.4143
Total magnetic moment (μB/f.u.): 0.000

# 5
Compound: PaAg7Te6
Source: Alexandria via LeMat-Bulk
Functional: PBE-GGA
Structure: relaxed

CIF file:
```
data_PaAg7Te6
_symmetry_space_group_name_H-M 'P 1'
_symmetry_Int_Tables_number 1
_cell_length_a 7.8734
_cell_length_b 7.8734
_cell_length_c 8.5495
_cell_angle_alpha 62.58
_cell_angle_beta 62.58
_cell_angle_gamma 60.00
loop_
_symmetry_equiv_pos_as_xyz
'x,y,z'
loop_
_atom_site_label
_atom_site_fract_x
_atom_site_fract_y
_atom_site_fract_z
Ag1 0.1298 0.6229 0.3805
Ag2 0.8227 0.4307 0.5935
Ag3 0.1532 0.8227 0.5935
Ag4 0.4307 0.1532 0.5935
Ag5 0.5462 0.5462 0.3615
Ag6 0.6229 0.8668 0.3805
Ag7 0.8668 0.1298 0.3805
Te1 0.0703 0.4192 0.7647
Te2 0.4192 0.7459 0.7647
Te3 0.5944 0.2737 0.1822
Te4 0.9497 0.5944 0.1822
Te5 0.2737 0.9497 0.1822
Te6 0.7459 0.0703 0.7647
Pa1 0.0102 0.0102 0.9693
```

E_tot (eV/atom): -3.7297
Total magnetic moment (μB/f.u.): 0.000

# 6
Compound: Cs3SrSn2I9
Source: Alexandria via LeMat-Bulk
Functional: PBE-GGA
Structure: relaxed

CIF file:
```
data_Cs3SrSn2I9
_symmetry_space_group_name_H-M 'P 1'
_symmetry_Int_Tables_number 1
_cell_length_a 8.9854
_cell_length_b 8.9854
_cell_length_c 11.0187
_cell_angle_alpha 90.00
_cell_angle_beta 90.00
_cell_angle_gamma 120.00
loop_
_symmetry_equiv_pos_as_xyz
'x,y,z'
loop_
_atom_site_label
_atom_site_fract_x
_atom_site_fract_y
_atom_site_fract_z
Cs1 0.6667 0.3333 0.3317
Cs2 0.0000 0.0000 0.0000
Cs3 0.3333 0.6667 0.6683
Sn1 0.3333 0.6667 0.1609
Sn2 0.6667 0.3333 0.8391
Sr1 0.0000 0.0000 0.5000
I1 0.1693 0.8307 0.3296
I2 0.3387 0.1693 0.6704
I3 0.8307 0.6613 0.6704
I4 0.6613 0.8307 0.3296
I5 0.8307 0.1693 0.6704
I6 0.5000 0.0000 0.0000
I7 0.0000 0.5000 0.0000
I8 0.5000 0.5000 0.0000
I9 0.1693 0.3387 0.3296
```

E_tot (eV/atom): -2.9026
Total magnetic moment (μB/f.u.): 0.000

# 7
Compound: Ta4MoIr
Source: Alexandria via LeMat-Bulk
Functional: PBE-GGA
Structure: relaxed

CIF file:
```
data_Ta4MoIr
_symmetry_space_group_name_H-M 'P 1'
_symmetry_Int_Tables_number 1
_cell_length_a 5.3294
_cell_length_b 5.3294
_cell_length_c 5.3294
_cell_angle_alpha 60.00
_cell_angle_beta 60.00
_cell_angle_gamma 60.00
loop_
_symmetry_equiv_pos_as_xyz
'x,y,z'
loop_
_atom_site_label
_atom_site_fract_x
_atom_site_fract_y
_atom_site_fract_z
Ta1 0.3744 0.3744 0.3744
Ta2 0.3744 0.8768 0.3744
Ta3 0.3744 0.3744 0.8768
Ta4 0.8768 0.3744 0.3744
Ir1 0.7500 0.7500 0.7500
Mo1 0.0000 0.0000 0.0000
```

Energy of formation (eV per atom): 0.3661
E_tot (eV/atom): -10.8176
Total magnetic moment (μB/f.u.): 0.669

# 8
Compound: Fe3Ni12Os
Source: Alexandria via LeMat-Bulk
Functional: PBE-GGA
Structure: relaxed

CIF file:
```
data_Fe3Ni12Os
_symmetry_space_group_name_H-M 'P 1'
_symmetry_Int_Tables_number 1
_cell_length_a 3.5632
_cell_length_b 3.5632
_cell_length_c 14.2776
_cell_angle_alpha 90.00
_cell_angle_beta 90.00
_cell_angle_gamma 90.00
loop_
_symmetry_equiv_pos_as_xyz
'x,y,z'
loop_
_atom_site_label
_atom_site_fract_x
_atom_site_fract_y
_atom_site_fract_z
Ni1 0.0000 0.5000 0.8725
Ni2 0.0000 0.5000 0.3760
Ni3 0.5000 0.5000 0.7482
Ni4 0.5000 0.0000 0.1275
Ni5 0.5000 0.5000 0.5000
Ni6 0.5000 0.5000 0.2518
Ni7 0.5000 0.0000 0.8725
Ni8 0.5000 0.0000 0.3760
Ni9 0.5000 0.5000 0.0000
Ni10 0.0000 0.5000 0.6240
Ni11 0.5000 0.0000 0.6240
Ni12 0.0000 0.5000 0.1275
Os1 0.0000 0.0000 0.0000
Fe1 0.0000 0.0000 0.7456
Fe2 0.0000 0.0000 0.5000
Fe3 0.0000 0.0000 0.2544
```

Energy of formation (eV per atom): -0.0105
E_tot (eV/atom): -6.6351
Total magnetic moment (μB/f.u.): 16.650

# 9
Compound: TmB6Ir6
Source: Alexandria via LeMat-Bulk
Functional: PBE-GGA
Structure: relaxed

CIF file:
```
data_TmB6Ir6
_symmetry_space_group_name_H-M 'P 1'
_symmetry_Int_Tables_number 1
_cell_length_a 4.8283
_cell_length_b 6.0366
_cell_length_c 6.0366
_cell_angle_alpha 79.15
_cell_angle_beta 66.43
_cell_angle_gamma 66.43
loop_
_symmetry_equiv_pos_as_xyz
'x,y,z'
loop_
_atom_site_label
_atom_site_fract_x
_atom_site_fract_y
_atom_site_fract_z
Ir1 0.6832 0.8168 0.8168
Ir2 0.0000 0.3319 0.6681
Ir3 0.0000 0.6681 0.3319
Ir4 0.3386 0.6614 0.6614
Ir5 0.3168 0.1832 0.1832
Ir6 0.6614 0.3386 0.3386
B1 0.0000 0.5000 0.0000
B2 0.5000 0.0000 0.5000
B3 0.5000 0.2312 0.7688
B4 0.0000 0.0000 0.5000
B5 0.5000 0.7688 0.2312
B6 0.5000 0.5000 0.0000
Tm1 0.0000 0.0000 0.0000
```

Energy of formation (eV per atom): 0.2256
E_tot (eV/atom): -7.2900
Total magnetic moment (μB/f.u.): 0.000

# 10
Compound: HfNb3W
Source: Alexandria via LeMat-Bulk
Functional: PBE-GGA
Structure: relaxed

CIF file:
```
data_HfNb3W
_symmetry_space_group_name_H-M 'P 1'
_symmetry_Int_Tables_number 1
_cell_length_a 4.8624
_cell_length_b 4.8624
_cell_length_c 4.8624
_cell_angle_alpha 90.00
_cell_angle_beta 90.00
_cell_angle_gamma 90.00
loop_
_symmetry_equiv_pos_as_xyz
'x,y,z'
loop_
_atom_site_label
_atom_site_fract_x
_atom_site_fract_y
_atom_site_fract_z
Hf1 0.5000 0.5000 0.5000
Nb1 0.0000 0.5000 0.0000
Nb2 0.0000 0.0000 0.5000
Nb3 0.5000 0.0000 0.0000
W1 0.0000 0.0000 0.0000
```

Energy of formation (eV per atom): 1.1784
E_tot (eV/atom): -9.4447
Total magnetic moment (μB/f.u.): 0.000
Excess energy over the best structure of this formula in the dataset (eV/atom): 1.086

# 11
Compound: Y8ZnRh2
Source: Alexandria via LeMat-Bulk
Functional: PBE-GGA
Structure: relaxed

CIF file:
```
data_Y8ZnRh2
_symmetry_space_group_name_H-M 'P 1'
_symmetry_Int_Tables_number 1
_cell_length_a 5.5357
_cell_length_b 7.8709
_cell_length_c 7.8709
_cell_angle_alpha 113.80
_cell_angle_beta 97.85
_cell_angle_gamma 97.85
loop_
_symmetry_equiv_pos_as_xyz
'x,y,z'
loop_
_atom_site_label
_atom_site_fract_x
_atom_site_fract_y
_atom_site_fract_z
Y1 0.4116 0.6727 0.9299
Y2 0.5819 0.3343 0.0770
Y3 0.8071 0.6245 0.6245
Y4 0.9983 0.7633 0.2421
Y5 0.5819 0.0770 0.3343
Y6 0.4116 0.9299 0.6727
Y7 0.1891 0.3818 0.3818
Y8 0.9983 0.2421 0.7633
Zn1 0.0228 0.0012 0.0012
Rh1 0.4984 0.6980 0.3091
Rh2 0.4984 0.3091 0.6980
```

Energy of formation (eV per atom): -0.2956
E_tot (eV/atom): -6.4492
Total magnetic moment (μB/f.u.): 0.002

Which value of total magnetic moment does entry 5 give? 0.000 μB/f.u.

Which formula does entry 3 have? Sm3ErTl4Te8

Look up the E_tot of the ninth one. -7.2900 eV/atom

Number 7 is which compound? Ta4MoIr